1.
## KSrTcO4 (PBE-GGA)

Data for a geometry-optimized KSrTcO4 structure.

Calculated values
E_tot	-0.2423	Ha/atom
ΔE_f (raw)	-1881.3	meV/atom

Cell and atoms, written as CIF:
```
data_KSrTcO4
_chemical_formula_sum 'K2 Sr2 Tc2 O8'
_cell_length_a 6.359
_cell_length_b 6.142
_cell_length_c 7.377
_cell_angle_alpha 90.00
_cell_angle_beta 106.07
_cell_angle_gamma 90.00
_space_group_name_H-M_alt 'P 1 21/m 1'
_space_group_IT_number 11
loop_
_space_group_symop_operation_xyz
'x,y,z'
'-x,-y,-z'
'-x,y+1/2,-z'
'x,-y+1/2,z'
loop_
_atom_site_label
_atom_site_type_symbol
_atom_site_fract_x
_atom_site_fract_y
_atom_site_fract_z
K1 K 0.213 0.250 0.428
Sr1 Sr 0.306 0.250 0.950
Tc1 Tc 0.228 0.750 0.176
O1 O 0.050 0.750 0.332
O2 O 0.050 0.750 0.934
O3 O 0.438 0.528 0.201
```


2.
## K4Sr3TcO8 (PBE-GGA)

Data for a geometry-optimized K4Sr3TcO8 structure.

Calculated values
E_tot	-0.2055	Ha/atom
ΔE_f (raw)	-1875.6	meV/atom

Cell and atoms, written as CIF:
```
data_K4Sr3TcO8
_chemical_formula_sum 'K12 Sr9 Tc3 O24'
_cell_length_a 7.1585
_cell_length_b 7.1585
_cell_length_c 18.6358
_cell_angle_alpha 90.00
_cell_angle_beta 90.00
_cell_angle_gamma 120.00
_space_group_name_H-M_alt 'R -3 m'
_space_group_IT_number 166
_space_group_name_Hall '-R 3 2"'
loop_
_atom_site_label
_atom_site_type_symbol
_atom_site_fract_x
_atom_site_fract_y
_atom_site_fract_z
K1 K 0.0000 0.0000 0.0000
K2 K 0.0000 0.5000 0.0000
Sr1 Sr 0.0000 0.5000 0.5000
Tc1 Tc 0.0000 0.0000 0.5000
O1 O 0.0000 0.0000 0.2361
O2 O 0.0669 0.5335 0.2270
```


3.
## KSr2TcO6 (PBE-GGA)

Data for a geometry-optimized KSr2TcO6 structure.

Calculated values
E_tot	-0.2393	Ha/atom
ΔE_f (raw)	-2053.4	meV/atom

Cell and atoms, written as CIF:
```
data_KSr2TcO6
_chemical_formula_sum 'K2 Sr4 Tc2 O12'
_cell_length_a 5.823
_cell_length_b 6.321
_cell_length_c 10.166
_cell_angle_alpha 90.00
_cell_angle_beta 123.54
_cell_angle_gamma 90.00
_space_group_name_H-M_alt 'P 1 21/c 1'
_space_group_IT_number 14
loop_
_space_group_symop_operation_xyz
'x,y,z'
'-x,-y,-z'
'-x,y+1/2,-z+1/2'
'x,-y+1/2,z+1/2'
loop_
_atom_site_label
_atom_site_type_symbol
_atom_site_fract_x
_atom_site_fract_y
_atom_site_fract_z
K1 K 0.000 0.000 0.000
Sr1 Sr 0.218 0.057 0.735
Tc1 Tc 0.500 0.000 0.500
O1 O 0.190 0.156 0.462
O2 O 0.269 0.745 0.909
O3 O 0.418 0.080 0.297
```


4.
## K2Sr2TcO6 (PBE-GGA)

Data for a geometry-optimized K2Sr2TcO6 structure.

Calculated values
E_tot	-0.2246	Ha/atom
ΔE_f (raw)	-1958.3	meV/atom

Cell and atoms, written as CIF:
```
data_K2Sr2TcO6
_chemical_formula_sum 'K4 Sr4 Tc2 O12'
_cell_length_a 6.153
_cell_length_b 10.313
_cell_length_c 6.545
_cell_angle_alpha 90.00
_cell_angle_beta 105.66
_cell_angle_gamma 90.00
_space_group_name_H-M_alt 'C 1 2/m 1'
_space_group_IT_number 12
loop_
_space_group_symop_operation_xyz
'x,y,z'
'-x,-y,-z'
'-x,y,-z'
'x,-y,z'
'x+1/2,y+1/2,z'
'-x+1/2,-y+1/2,-z'
'-x+1/2,y+1/2,-z'
'x+1/2,-y+1/2,z'
loop_
_atom_site_label
_atom_site_type_symbol
_atom_site_fract_x
_atom_site_fract_y
_atom_site_fract_z
K1 K 0.000 0.159 0.000
Sr1 Sr 0.000 0.337 0.500
Tc1 Tc 0.000 0.000 0.500
O1 O 0.184 0.137 0.674
O2 O 0.211 0.000 0.318
```


5.
## KSrTc2O8 (PBE-GGA)

Data for a geometry-optimized KSrTc2O8 structure.

Calculated values
E_tot	-0.2601	Ha/atom
ΔE_f (raw)	-1811.8	meV/atom

Cell and atoms, written as CIF:
```
data_KSrTc2O8
_chemical_formula_sum 'K2 Sr2 Tc4 O16'
_cell_length_a 11.059
_cell_length_b 6.380
_cell_length_c 6.854
_cell_angle_alpha 90.00
_cell_angle_beta 109.43
_cell_angle_gamma 90.00
_space_group_name_H-M_alt 'C 1 2/m 1'
_space_group_IT_number 12
loop_
_space_group_symop_operation_xyz
'x,y,z'
'-x,-y,-z'
'-x,y,-z'
'x,-y,z'
'x+1/2,y+1/2,z'
'-x+1/2,-y+1/2,-z'
'-x+1/2,y+1/2,-z'
'x+1/2,-y+1/2,z'
loop_
_atom_site_label
_atom_site_type_symbol
_atom_site_fract_x
_atom_site_fract_y
_atom_site_fract_z
K1 K 0.000 0.000 0.000
Sr1 Sr 0.000 0.500 0.500
Tc1 Tc 0.204 0.000 0.666
O1 O 0.127 0.500 0.246
O2 O 0.138 0.224 0.746
O3 O 0.153 0.000 0.395
```


6.
## K4SrTc3O12 (PBE-GGA)

Data for a geometry-optimized K4SrTc3O12 structure.

Calculated values
E_tot	-0.2360	Ha/atom
ΔE_f (raw)	-1589.2	meV/atom

Cell and atoms, written as CIF:
```
data_K4SrTc3O12
_chemical_formula_sum 'K8 Sr2 Tc6 O24'
_cell_length_a 8.265
_cell_length_b 8.265
_cell_length_c 8.265
_cell_angle_alpha 90.00
_cell_angle_beta 90.00
_cell_angle_gamma 90.00
_space_group_name_H-M_alt 'I m -3 m'
_space_group_IT_number 229
_space_group_name_Hall '-I 4 2 3'
loop_
_atom_site_label
_atom_site_type_symbol
_atom_site_fract_x
_atom_site_fract_y
_atom_site_fract_z
K1 K 0.250 0.250 0.250
Sr1 Sr 0.000 0.000 0.000
Tc1 Tc 0.000 0.000 0.500
O1 O 0.000 0.000 0.281
O2 O 0.000 0.250 0.500
```


Look up the ΔE_f (raw) of the third one.
-2053.4 meV/atom


What did the first record say?
## KSrTcO4 (PBE-GGA)

Data for a geometry-optimized KSrTcO4 structure.

Calculated values
E_tot	-0.2423	Ha/atom
ΔE_f (raw)	-1881.3	meV/atom

Cell and atoms, written as CIF:
```
data_KSrTcO4
_chemical_formula_sum 'K2 Sr2 Tc2 O8'
_cell_length_a 6.359
_cell_length_b 6.142
_cell_length_c 7.377
_cell_angle_alpha 90.00
_cell_angle_beta 106.07
_cell_angle_gamma 90.00
_space_group_name_H-M_alt 'P 1 21/m 1'
_space_group_IT_number 11
loop_
_space_group_symop_operation_xyz
'x,y,z'
'-x,-y,-z'
'-x,y+1/2,-z'
'x,-y+1/2,z'
loop_
_atom_site_label
_atom_site_type_symbol
_atom_site_fract_x
_atom_site_fract_y
_atom_site_fract_z
K1 K 0.213 0.250 0.428
Sr1 Sr 0.306 0.250 0.950
Tc1 Tc 0.228 0.750 0.176
O1 O 0.050 0.750 0.332
O2 O 0.050 0.750 0.934
O3 O 0.438 0.528 0.201
```


What is the E_tot in the fifth record?
-0.2601 Ha/atom


Copy entry 2 word for word.
## K4Sr3TcO8 (PBE-GGA)

Data for a geometry-optimized K4Sr3TcO8 structure.

Calculated values
E_tot	-0.2055	Ha/atom
ΔE_f (raw)	-1875.6	meV/atom

Cell and atoms, written as CIF:
```
data_K4Sr3TcO8
_chemical_formula_sum 'K12 Sr9 Tc3 O24'
_cell_length_a 7.1585
_cell_length_b 7.1585
_cell_length_c 18.6358
_cell_angle_alpha 90.00
_cell_angle_beta 90.00
_cell_angle_gamma 120.00
_space_group_name_H-M_alt 'R -3 m'
_space_group_IT_number 166
_space_group_name_Hall '-R 3 2"'
loop_
_atom_site_label
_atom_site_type_symbol
_atom_site_fract_x
_atom_site_fract_y
_atom_site_fract_z
K1 K 0.0000 0.0000 0.0000
K2 K 0.0000 0.5000 0.0000
Sr1 Sr 0.0000 0.5000 0.5000
Tc1 Tc 0.0000 0.0000 0.5000
O1 O 0.0000 0.0000 0.2361
O2 O 0.0669 0.5335 0.2270
```